No. 1
A plane-wave DFT calculation with PBE-GGA was carried out for crystalline GaSeS at its relaxed geometry.

Results
**Space group**: C2/m (12)
**Excess energy over the best structure of this formula in the dataset**: 208 meV/atom

Cell lengths 6.3653, 6.3653, 3.8223 Å; angles 91.95, 91.95, 59.91 degrees
Element x y z (fractional)
1 Ga 0.0000 0.5000 0.0000
2 Ga 0.5000 0.0000 0.0000
3 Se 0.1477 0.1477 0.3963
4 Se 0.8523 0.8523 0.6037
5 S 0.4197 0.4197 0.1375
6 S 0.5803 0.5803 0.8625

---

No. 2
A plane-wave DFT calculation with PBE-GGA was carried out for crystalline Ba2VMoCl at its relaxed geometry.

Results
**Space group**: P4/mmm (123)
**Excess energy over the best structure of this formula in the dataset**: 249 meV/atom

Cell lengths 6.3264, 6.3264, 4.5276 Å; angles 90.00, 90.00, 90.00 degrees
Element x y z (fractional)
1 Ba 0.0000 0.5000 0.0000
2 Ba 0.5000 0.0000 0.0000
3 V 0.0000 0.0000 0.5000
4 Mo 0.5000 0.5000 0.0000
5 Cl 0.5000 0.5000 0.5000

---

No. 3
A plane-wave DFT calculation with PBE-GGA was carried out for crystalline Pr8SbAu2 at its relaxed geometry.

Results
**E_tot**: -53.74 eV per cell
**Space group**: C2/m (12)

Cell lengths 10.1032, 10.1032, 7.2086 Å; angles 108.88, 108.88, 30.62 degrees
Element x y z (fractional)
1 Pr 0.0228 0.0228 0.2712
2 Pr 0.2006 0.2006 0.8515
3 Pr 0.3259 0.3259 0.4985
4 Pr 0.4053 0.4053 0.0263
5 Pr 0.5947 0.5947 0.9737
6 Pr 0.6741 0.6741 0.5015
7 Pr 0.7994 0.7994 0.1485
8 Pr 0.9772 0.9772 0.7288
9 Sb 0.5000 0.5000 0.5000
10 Au 0.1714 0.1714 0.2380
11 Au 0.8286 0.8286 0.7620